Record 1
This record from Alexandria via LeMat-Bulk describes a relaxed structure of PaZnAgO6. The functional is PBE.

Values from the calculation:
- total magnetization (μB per formula unit) = 0.000
- formation energy from raw total energies (eV per atom) = -1.46
- crystal system = trigonal

a b c (Å): 4.746 5.281 5.281
angles (deg): 120.00 90.00 90.00
Fractional coordinates of all 9 atoms:
Pa1 0.000 0.333 0.667
Zn1 0.500 0.667 0.333
Ag1 0.500 0.000 0.000
O1 0.739 0.677 0.672
O2 0.739 0.328 0.004
O3 0.739 0.996 0.323
O4 0.261 0.328 0.323
O5 0.261 0.677 0.004
O6 0.261 0.996 0.672


Record 2
This record from Alexandria via LeMat-Bulk describes a relaxed structure of AgIrOs2. The functional is PBE.

Values from the calculation:
- total magnetization (μB per formula unit) = 1.759
- calculated formation energy (eV per atom) = 0.852
- distance to the lowest polymorph of the same formula (meV/atom) = 577
- crystal system = cubic

a b c (Å): 4.430 4.430 4.430
angles (deg): 60.00 60.00 60.00
Fractional coordinates of all 4 atoms:
Ir1 0.750 0.750 0.750
Os1 0.000 0.000 0.000
Os2 0.250 0.250 0.250
Ag1 0.500 0.500 0.500


Please write out number 1 again, unchanged.
This record from Alexandria via LeMat-Bulk describes a relaxed structure of PaZnAgO6. The functional is PBE.

Values from the calculation:
- total magnetization (μB per formula unit) = 0.000
- formation energy from raw total energies (eV per atom) = -1.46
- crystal system = trigonal

a b c (Å): 4.746 5.281 5.281
angles (deg): 120.00 90.00 90.00
Fractional coordinates of all 9 atoms:
Pa1 0.000 0.333 0.667
Zn1 0.500 0.667 0.333
Ag1 0.500 0.000 0.000
O1 0.739 0.677 0.672
O2 0.739 0.328 0.004
O3 0.739 0.996 0.323
O4 0.261 0.328 0.323
O5 0.261 0.677 0.004
O6 0.261 0.996 0.672


> Look up the total magnetization of the second one.

1.759 μB per formula unit


> What is the formula in the first record?

PaZnAgO6